Entry 1:
Material: CsGa2AuI8
Method: DFT, PBE
State: relaxed

Total magnetic moment: 0.0 μB per cell

a b c (Å): 7.5286 7.5286 10.7331
angles (deg): 90.00 90.00 120.00
Fractional positions:
Cs 0.0000 0.0000 0.0000
I 0.3285 0.3157 0.3292
I 0.3333 0.6667 0.9877
I 0.0127 0.3285 0.6708
I 0.6667 0.3333 0.0123
I 0.6843 0.0127 0.3292
I 0.6715 0.6843 0.6708
I 0.3157 0.9873 0.6708
I 0.9873 0.6715 0.3292
Au 0.0000 0.0000 0.5000
Ga 0.6667 0.3333 0.2536
Ga 0.3333 0.6667 0.7464

=====

Entry 2:
Material: CsInGa2Au
Method: DFT, PBE
State: relaxed

E_form: 1.05 eV per atom
Total magnetic moment: 0.0 μB per cell

a b c (Å): 6.1709 6.1238 6.1709
angles (deg): 90.00 90.00 90.00
Fractional positions:
Ga 0.0000 0.0000 0.5000
Ga 0.5000 0.0000 0.0000
Cs 0.0000 0.0000 0.0000
In 0.5000 0.5000 0.5000
Au 0.0000 0.5000 0.0000

=====

Entry 3:
Material: CsInGaAu2
Method: DFT, PBE
State: relaxed

E_form: -0.23 eV per atom
Total magnetic moment: 0.0 μB per cell

a b c (Å): 4.8666 7.0806 10.4673
angles (deg): 100.27 90.00 110.10
Fractional positions:
Au 0.1038 0.2077 0.9629
Au 0.3923 0.7847 0.7143
Au 0.8962 0.7923 0.0371
Au 0.6077 0.2153 0.2857
Ga 0.9423 0.8847 0.7850
Ga 0.0577 0.1153 0.2150
In 0.6877 0.3754 0.0608
In 0.3123 0.6246 0.9392
Cs 0.6539 0.3079 0.6470
Cs 0.3461 0.6921 0.3530

=====

Entry 4:
Material: CsIn8Ga2Au
Method: DFT, PBE
State: relaxed

E_form: -0.02 eV per atom
Total magnetic moment: 0.0 μB per cell

a b c (Å): 6.6063 6.6063 9.5395
angles (deg): 70.81 70.81 65.90
Fractional positions:
Ga 0.5705 0.5705 0.2271
Ga 0.4295 0.4295 0.7729
In 0.7763 0.7763 0.9392
In 0.8961 0.4014 0.7725
In 0.6507 0.6507 0.4841
In 0.2237 0.2237 0.0608
In 0.5986 0.1039 0.2275
In 0.4014 0.8961 0.7725
In 0.3493 0.3493 0.5159
In 0.1039 0.5986 0.2275
Cs 0.0000 0.0000 0.5000
Au 0.0000 0.0000 0.0000

=====

| no. | raw total energy (eV/atom) |
| --- | --- |
| 1 | -2.460 |
| 2 | -1.535 |
| 3 | -2.866 |
| 4 | -2.694 |